ErFeGe2O7 after structural relaxation, computed with GGA+U.

```
ErFeGe2O7
1.0
-4.439 -0.953 5.254
4.234 -1.748 5.218
0.476 4.999 4.379
O Er Ge Fe
14 2 4 2
direct
0.569 0.216 0.831 O
0.636 0.636 0.454 O
0.869 0.869 0.033 O
0.688 0.688 0.810 O
0.131 0.131 0.967 O
0.274 0.946 0.601 O
0.054 0.726 0.399 O
0.216 0.569 0.831 O
0.784 0.431 0.169 O
0.946 0.274 0.601 O
0.364 0.364 0.546 O
0.726 0.054 0.399 O
0.431 0.784 0.169 O
0.312 0.312 0.190 O
0.797 0.203 0.000 Er
0.203 0.797 0.000 Er
0.696 0.696 0.078 Ge
0.783 0.783 0.513 Ge
0.217 0.217 0.487 Ge
0.304 0.304 0.922 Ge
0.696 0.304 0.500 Fe
0.304 0.696 0.500 Fe
```

Calculated values
Energy, eV/atom: -7.018
SG: C2/m, No. 12